Entry 1:
{
  "formula": "Er2AlPd4",
  "functional": "PBE",
  "state": "relaxed",
  "lattice_angstrom": [[4.5845, -0.6740, -1.0699], [-1.0249, 4.5190, -1.0699], [0.0399, 0.0431, 7.6289]],
  "species": ["Er", "Er", "Pd", "Pd", "Pd", "Pd", "Al"],
  "frac_coords": [[0.3691, 0.3691, 0.7383], [0.6309, 0.6309, 0.2617], [0.0000, 0.5000, 0.0000], [0.1741, 0.1741, 0.3483], [0.8259, 0.8259, 0.6517], [0.5000, 0.0000, 0.0000], [0.0000, 0.0000, 0.0000]],
  "m_tot_mub_per_atom": 0.0000,
  "ef_ev_per_fu": -3.7,
  "space_group": "Fmmm"
}

Entry 2:
{
  "formula": "LiCa3Pu3Se8",
  "functional": "PBE",
  "state": "relaxed",
  "lattice_angstrom": [[-5.6931, -5.7574, 1.7296], [7.8816, -2.2133, -1.2415], [-2.0996, 4.1471, 6.8940]],
  "species": ["Ca", "Ca", "Ca", "Se", "Se", "Se", "Se", "Se", "Se", "Se", "Se", "Pu", "Pu", "Pu", "Li"],
  "frac_coords": [[0.0000, 0.0000, 0.0000], [0.0000, 0.5000, 0.0000], [0.5000, 0.5000, 0.0000], [0.2452, 0.4905, 0.7366], [0.2508, 0.5016, 0.2524], [0.7492, 0.4984, 0.7476], [0.7464, 0.9914, 0.7363], [0.2449, 0.9913, 0.7362], [0.7548, 0.5095, 0.2634], [0.7551, 0.0087, 0.2638], [0.2536, 0.0086, 0.2637], [0.5000, 0.0000, 0.5000], [0.5000, 0.5000, 0.5000], [0.0000, 0.5000, 0.5000], [0.0000, 0.0000, 0.5000]],
  "formation_energy_uncorrected_ev_per_atom": -1.590,
  "m_tot_mub_per_atom": 1.0000,
  "space_group": "R-3m"
}

Entry 3:
{
  "formula": "CePr2Zn",
  "functional": "PBE",
  "state": "relaxed",
  "lattice_angstrom": [[5.3934, 0.0000, 0.0000], [2.6967, 4.6708, 0.0000], [2.6967, 1.5569, 4.4037]],
  "species": ["Ce", "Pr", "Pr", "Zn"],
  "frac_coords": [[0.0000, 0.0000, 0.0000], [0.2500, 0.2500, 0.2500], [0.7500, 0.7500, 0.7500], [0.5000, 0.5000, 0.5000]],
  "m_tot_mub_per_atom": 0.5370,
  "ef_ev_per_fu": 0.4,
  "space_group": "Fm-3m"
}

Entry 4:
{
  "formula": "Ga2SCl",
  "functional": "PBE",
  "state": "relaxed",
  "lattice_angstrom": [[7.0975, 0.0000, 0.0000], [0.0000, 7.0975, 0.0000], [3.5487, 3.5487, 3.8608]],
  "species": ["S", "S", "Cl", "Cl", "Ga", "Ga", "Ga", "Ga"],
  "frac_coords": [[0.5000, 0.5000, 0.0000], [0.2500, 0.7500, 0.5000], [0.7500, 0.2500, 0.5000], [0.0000, 0.0000, 0.0000], [0.3750, 0.4055, 0.7500], [0.8750, 0.8445, 0.7500], [0.1555, 0.6250, 0.2500], [0.5945, 0.1250, 0.2500]],
  "formation_energy_uncorrected_ev_per_atom": -0.326,
  "m_tot_mub_per_atom": 0.0000,
  "space_group": "I-42d"
}

Entry 5:
{
  "formula": "TbSm2Er",
  "functional": "PBE",
  "state": "relaxed",
  "lattice_angstrom": [[-1.8545, 2.1337, 2.1994], [-2.8518, -1.2770, 1.7508], [5.2893, -2.8848, 10.1749]],
  "species": ["Er", "Tb", "Sm", "Sm"],
  "frac_coords": [[0.0000, 0.0000, 0.0000], [0.5000, 0.5000, 0.5000], [0.2505, 0.2505, 0.2484], [0.7495, 0.7495, 0.7516]],
  "m_tot_mub_per_atom": 0.0001,
  "ef_ev_per_fu": 0.1,
  "space_group": "R-3m"
}

Entry 6:
{
  "formula": "LiTl2W",
  "functional": "PBE",
  "state": "relaxed",
  "lattice_angstrom": [[-0.4181, -3.2189, 2.9551], [4.2723, 0.3220, 0.9552], [-0.0562, 4.9677, 8.6633]],
  "species": ["Li", "Li", "Tl", "Tl", "Tl", "Tl", "W", "W"],
  "frac_coords": [[0.2500, 0.7500, 0.5000], [0.5000, 0.5000, 0.0000], [0.1186, 0.6250, 0.2500], [0.6314, 0.1250, 0.2500], [0.3750, 0.3686, 0.7500], [0.8750, 0.8814, 0.7500], [0.7500, 0.2500, 0.5000], [0.0000, 0.0000, 0.0000]],
  "m_tot_mub_per_atom": 0.2359,
  "ef_ev_per_fu": 4.4,
  "space_group": "I-42d"
}

Which formula does entry 1 have?
Er2AlPd4

Number 2 is which compound?
LiCa3Pu3Se8

Repeat the fourth record exactly.
{
  "formula": "Ga2SCl",
  "functional": "PBE",
  "state": "relaxed",
  "lattice_angstrom": [[7.0975, 0.0000, 0.0000], [0.0000, 7.0975, 0.0000], [3.5487, 3.5487, 3.8608]],
  "species": ["S", "S", "Cl", "Cl", "Ga", "Ga", "Ga", "Ga"],
  "frac_coords": [[0.5000, 0.5000, 0.0000], [0.2500, 0.7500, 0.5000], [0.7500, 0.2500, 0.5000], [0.0000, 0.0000, 0.0000], [0.3750, 0.4055, 0.7500], [0.8750, 0.8445, 0.7500], [0.1555, 0.6250, 0.2500], [0.5945, 0.1250, 0.2500]],
  "formation_energy_uncorrected_ev_per_atom": -0.326,
  "m_tot_mub_per_atom": 0.0000,
  "space_group": "I-42d"
}

Number 2 is which compound?
LiCa3Pu3Se8